# 1
CrCdCuB2: optimized geometry, PBE.

As for the volume: 68.9 Å³/cell. As for the formation energy: 1464 meV/atom. The calculated density is 6.01 g/cm³. Its crystal system is tetragonal.

```
5
Lattice="3.835 0.000 0.000 0.000 3.835 0.000 0.000 0.000 4.688" Properties=species:S:1:pos:R:3 pbc="T T T"
Cr 0.000 0.000 0.000
Cd 1.917 1.917 0.000
Cu 0.000 0.000 2.344
B 0.000 1.917 2.344
B 1.917 0.000 2.344
```

***

# 2
AlBS: optimized geometry, PBE.

Its offset from the most stable computed form is 122 meV per atom. As for the volume: 106.0 Å³/cell. For the formation energy without anion corrections, the calculation gives -0.256 eV/atom. The calculated density is 2.19 g/cm³. Its crystal system is triclinic.

```
6
Lattice="3.715 0.000 0.000 -0.216 5.133 0.000 -1.150 -1.832 5.560" Properties=species:S:1:pos:R:3 pbc="T T T"
Al 0.000 0.000 0.000
Al 0.555 0.966 4.006
B 2.399 1.947 3.973
B 2.890 3.063 3.052
S 0.147 4.315 2.268
S 1.847 1.364 0.300
```

***

# 3
Cd2P7Ru12: optimized geometry, PBE.

As for the volume: 299.5 Å³/cell. As for the formation energy: -436 meV/atom. The calculated density is 9.17 g/cm³. Its crystal system is hexagonal.

```
21
Lattice="9.530 0.000 0.000 -4.765 8.253 0.000 0.000 0.000 3.808" Properties=species:S:1:pos:R:3 pbc="T T T"
Cd 0.000 0.000 0.000
Cd 0.000 5.502 1.904
P -1.463 3.460 0.000
P 1.469 2.080 1.904
P -1.037 7.790 0.000
P 2.500 5.257 0.000
P 4.765 2.751 0.000
P 6.995 0.232 1.904
P 5.832 5.942 1.904
Ru -0.831 1.985 1.904
Ru -2.130 5.750 0.000
Ru -2.630 7.981 1.904
Ru 0.850 3.534 0.000
Ru 2.825 1.678 0.000
Ru 4.722 0.746 1.904
Ru 3.050 3.791 1.904
Ru 1.279 7.223 0.000
Ru 3.462 6.541 1.904
Ru 6.665 1.607 0.000
Ru 4.806 4.968 0.000
Ru 6.523 3.717 1.904
```

***

# 4
LaCeGe3: optimized geometry, PBE.

As for the volume: 244.6 Å³/cell. As for the formation energy: -691 meV/atom. The calculated density is 6.75 g/cm³. Its crystal system is orthorhombic.

```
10
Lattice="2.198 -13.362 0.000 2.198 13.362 0.000 0.000 0.000 4.164" Properties=species:S:1:pos:R:3 pbc="T T T"
La 2.198 11.458 3.123
La 2.198 -11.458 1.041
Ce 2.198 7.946 1.041
Ce 2.198 -7.946 3.123
Ge 2.198 4.924 1.041
Ge 2.198 3.294 3.123
Ge 2.198 0.723 3.123
Ge 2.198 -0.723 1.041
Ge 2.198 -3.294 1.041
Ge 2.198 -4.924 3.123
```

***

# 5
TaTlPbBr2: optimized geometry, PBE.

As for the volume: 202.6 Å³/cell. For the formation energy without anion corrections, the calculation gives 0.750 eV/atom. The calculated density is 6.17 g/cm³. Its crystal system is tetragonal.

```
5
Lattice="5.948 0.000 0.000 0.000 5.948 0.000 0.000 0.000 5.727" Properties=species:S:1:pos:R:3 pbc="T T T"
Ta 0.000 0.000 0.000
Tl 2.974 2.974 0.000
Pb 0.000 0.000 2.864
Br 0.000 2.974 2.864
Br 2.974 0.000 2.864
```

***

# 6
CsUSe2O: optimized geometry, PBE.

As for the volume: 331.3 Å³/cell. For the formation energy without anion corrections, the calculation gives -1.779 eV/atom. The calculated density is 5.46 g/cm³. Its crystal system is monoclinic.

```
10
Lattice="8.289 0.000 0.000 0.000 4.285 0.000 -2.861 0.000 9.328" Properties=species:S:1:pos:R:3 pbc="T T T"
Cs 0.649 1.071 2.930
Cs 4.780 3.214 6.398
U 0.251 1.071 7.757
U 5.178 3.214 1.570
Se 2.594 3.214 0.348
Se 0.966 3.214 6.083
Se 4.462 1.071 3.245
Se 2.835 1.071 8.980
O -1.538 1.071 7.236
O 6.967 3.214 2.092
```

***

# 7
InCoSb2: optimized geometry, PBE.

As for the volume: 89.7 Å³/cell. For the formation energy without anion corrections, the calculation gives 0.547 eV/atom. The calculated density is 7.73 g/cm³. Its crystal system is cubic.

```
4
Lattice="0.000 3.553 3.553 3.553 0.000 3.553 3.553 3.553 0.000" Properties=species:S:1:pos:R:3 pbc="T T T"
In 0.000 0.000 0.000
Co 5.329 5.329 5.329
Sb 1.776 1.776 1.776
Sb 3.553 3.553 3.553
```

***

# 8
Y8HgTe4As3: optimized geometry, PBE.

As for the volume: 442.0 Å³/cell. For the formation energy without anion corrections, the calculation gives -1.343 eV/atom. The calculated density is 6.19 g/cm³. Its crystal system is trigonal.

```
16
Lattice="4.251 2.455 7.059 -4.251 2.455 7.059 0.000 -4.909 7.059" Properties=species:S:1:pos:R:3 pbc="T T T"
Y -2.160 -1.247 12.187
Y 0.000 0.000 5.062
Y 0.000 -2.494 8.991
Y -2.160 1.247 8.991
Y 2.160 -1.247 12.187
Y 0.000 2.494 12.187
Y 0.000 0.000 16.116
Y 2.160 1.247 8.991
Hg 0.000 0.000 10.589
Te 0.000 0.000 0.000
Te -2.126 -1.227 7.059
Te -2.126 1.227 14.119
Te 0.000 2.455 7.059
As -4.251 0.000 10.589
As -2.126 1.227 3.530
As 2.126 1.227 3.530
```

***

Question: Which formula does entry 7 have?
Answer: InCoSb2

***

Question: Which value of calculated density does entry 5 give?
Answer: 6.17 g/cm³

***

What did the seventh record say?
InCoSb2: optimized geometry, PBE.

As for the volume: 89.7 Å³/cell. For the formation energy without anion corrections, the calculation gives 0.547 eV/atom. The calculated density is 7.73 g/cm³. Its crystal system is cubic.

```
4
Lattice="0.000 3.553 3.553 3.553 0.000 3.553 3.553 3.553 0.000" Properties=species:S:1:pos:R:3 pbc="T T T"
In 0.000 0.000 0.000
Co 5.329 5.329 5.329
Sb 1.776 1.776 1.776
Sb 3.553 3.553 3.553
```